No. 1
VASP calculation (PBE) on a relaxed K2U2PaSe6 crystal.

Cell: 7.167 7.167 8.315 Å, 98.29 98.29 119.94°
Fractional coordinates of all 11 atoms:
K: 0.833 0.167 0.000
K: 0.167 0.833 0.000
U: 0.334 0.666 0.500
U: 0.666 0.334 0.500
Pa: 0.000 0.000 0.500
Se: 0.738 0.738 0.706
Se: 0.068 0.399 0.705
Se: 0.262 0.262 0.294
Se: 0.399 0.068 0.705
Se: 0.932 0.601 0.295
Se: 0.601 0.932 0.295

space-group type = C2/m (12)

No. 2
VASP calculation (PBE) on a relaxed K2UPa2Se6 crystal.

Cell: 7.152 7.152 8.338 Å, 98.14 98.14 120.02°
Fractional coordinates of all 11 atoms:
K: 0.834 0.166 0.000
K: 0.166 0.834 0.000
U: 0.000 0.000 0.500
Pa: 0.335 0.665 0.500
Pa: 0.665 0.335 0.500
Se: 0.733 0.733 0.708
Se: 0.068 0.404 0.706
Se: 0.267 0.267 0.292
Se: 0.404 0.068 0.706
Se: 0.932 0.596 0.294
Se: 0.596 0.932 0.294

space-group type = C2/m (12)

No. 3
VASP calculation (PBE) on a relaxed K3UPa2Se6 crystal.

Cell: 4.155 9.235 10.122 Å, 110.84 101.84 90.00°
Fractional coordinates of all 12 atoms:
K: 0.500 0.500 0.000
K: 0.834 0.167 0.668
K: 0.166 0.833 0.332
U: 0.500 0.000 0.000
Pa: 0.834 0.668 0.667
Pa: 0.166 0.332 0.333
Se: 0.341 0.895 0.682
Se: 0.675 0.562 0.350
Se: 0.659 0.105 0.318
Se: 0.009 0.230 0.018
Se: 0.991 0.770 0.982
Se: 0.325 0.438 0.650

space-group type = C2/m (12)

No. 4
VASP calculation (PBE) on a relaxed K4U3PaSe8 crystal.

Cell: 8.351 9.199 8.351 Å, 117.00 120.00 90.00°
Fractional coordinates of all 16 atoms:
K: 0.500 0.000 0.000
K: 0.500 0.000 0.500
K: 0.000 0.000 0.000
K: 0.000 0.000 0.500
U: 0.500 0.500 0.000
U: 0.500 0.500 0.500
U: 0.000 0.500 0.500
Pa: 0.000 0.500 0.000
Se: 0.236 0.711 0.975
Se: 0.236 0.711 0.472
Se: 0.263 0.290 0.527
Se: 0.739 0.711 0.975
Se: 0.261 0.289 0.025
Se: 0.737 0.710 0.473
Se: 0.764 0.289 0.528
Se: 0.764 0.289 0.025

space-group type = R-3m (166)

No. 5
VASP calculation (PBE) on a relaxed K4Pa3VSe8 crystal.

Cell: 8.229 9.139 8.228 Å, 116.74 120.00 90.00°
Fractional coordinates of all 16 atoms:
K: 0.500 0.000 0.000
K: 0.500 0.000 0.500
K: 0.000 0.000 0.000
K: 0.000 0.000 0.500
Pa: 0.500 0.500 0.000
Pa: 0.500 0.500 0.500
Pa: 0.000 0.500 0.500
V: 0.000 0.500 0.000
Se: 0.226 0.702 0.976
Se: 0.226 0.702 0.452
Se: 0.262 0.285 0.523
Se: 0.750 0.702 0.976
Se: 0.250 0.298 0.024
Se: 0.738 0.715 0.477
Se: 0.774 0.298 0.548
Se: 0.774 0.298 0.024

space-group type = R-3m (166)

No. 6
VASP calculation (PBE) on a relaxed K3Pa3VSe8 crystal.

Cell: 8.133 8.133 9.261 Å, 116.04 90.00 120.00°
Fractional coordinates of all 15 atoms:
K: 0.000 0.000 0.000
K: 0.000 0.500 0.000
K: 0.500 0.500 0.000
Pa: 0.500 0.000 0.500
Pa: 0.500 0.500 0.500
Pa: 0.000 0.500 0.500
V: 0.000 0.000 0.500
Se: 0.262 0.524 0.286
Se: 0.738 0.476 0.714
Se: 0.777 0.554 0.304
Se: 0.223 0.446 0.696
Se: 0.777 0.027 0.304
Se: 0.223 0.973 0.696
Se: 0.250 0.027 0.304
Se: 0.750 0.973 0.696

space-group type = R-3m (166)

No. 7
VASP calculation (PBE) on a relaxed K3PaV2Se6 crystal.

Cell: 6.859 6.859 8.011 Å, 98.23 98.23 119.95°
Fractional coordinates of all 12 atoms:
K: 0.164 0.836 0.500
K: 0.836 0.164 0.500
K: 0.500 0.500 0.500
Pa: 0.000 0.000 0.000
V: 0.333 0.667 0.000
V: 0.667 0.333 0.000
Se: 0.935 0.584 0.807
Se: 0.713 0.713 0.192
Se: 0.065 0.416 0.193
Se: 0.584 0.935 0.807
Se: 0.287 0.287 0.808
Se: 0.416 0.065 0.193

space-group type = C2/m (12)

No. 8
VASP calculation (PBE) on a relaxed K2PaVSe4 crystal.

Cell: 4.121 6.845 8.107 Å, 107.33 90.00 90.00°
Fractional coordinates of all 8 atoms:
K: 0.500 0.000 0.500
K: 0.000 0.500 0.500
Pa: 0.000 0.000 0.000
V: 0.500 0.500 0.000
Se: 0.500 0.252 0.206
Se: 0.500 0.748 0.794
Se: 0.000 0.284 0.808
Se: 0.000 0.716 0.192

space-group type = P2/m (10)

No. 9
VASP calculation (PBE) on a relaxed K2YPaSe4 crystal.

Cell: 4.174 7.294 8.127 Å, 107.11 90.00 90.00°
Fractional coordinates of all 8 atoms:
K: 0.500 0.000 0.500
K: 0.000 0.500 0.500
Y: 0.500 0.500 0.000
Pa: 0.000 0.000 0.000
Se: 0.500 0.238 0.211
Se: 0.500 0.762 0.789
Se: 0.000 0.264 0.792
Se: 0.000 0.736 0.208

space-group type = P2/m (10)

No. 10
VASP calculation (PBE) on a relaxed KYPaSe4 crystal.

Cell: 8.899 8.744 8.764 Å, 120.07 90.00 120.59°
Fractional coordinates of all 14 atoms:
K: 0.881 0.761 0.131
K: 0.119 0.239 0.869
Y: 0.500 0.000 0.500
Y: 0.500 0.000 0.000
Pa: 0.500 0.500 0.500
Pa: 0.000 0.500 0.500
Se: 0.737 0.473 0.698
Se: 0.305 0.035 0.268
Se: 0.730 0.035 0.268
Se: 0.737 0.473 0.275
Se: 0.263 0.527 0.725
Se: 0.695 0.965 0.732
Se: 0.270 0.965 0.732
Se: 0.263 0.527 0.302

space-group type = Imma (74)

No. 11
VASP calculation (PBE) on a relaxed K3Y2PaSe6 crystal.

Cell: 7.289 7.289 8.095 Å, 98.63 98.63 119.99°
Fractional coordinates of all 12 atoms:
K: 0.168 0.832 0.500
K: 0.832 0.168 0.500
K: 0.500 0.500 0.500
Y: 0.333 0.667 0.000
Y: 0.667 0.333 0.000
Pa: 0.000 0.000 0.000
Se: 0.931 0.598 0.792
Se: 0.737 0.737 0.208
Se: 0.069 0.402 0.208
Se: 0.598 0.931 0.792
Se: 0.263 0.263 0.792
Se: 0.402 0.069 0.208

space-group type = C2/m (12)

No. 12
VASP calculation (PBE) on a relaxed K3Y3PaSe8 crystal.

Cell: 8.394 8.394 9.182 Å, 117.23 90.00 120.00°
Fractional coordinates of all 15 atoms:
K: 0.000 0.000 0.000
K: 0.000 0.500 0.000
K: 0.500 0.500 0.000
Y: 0.500 0.000 0.500
Y: 0.500 0.500 0.500
Y: 0.000 0.500 0.500
Pa: 0.000 0.000 0.500
Se: 0.265 0.530 0.296
Se: 0.735 0.470 0.704
Se: 0.767 0.534 0.298
Se: 0.233 0.466 0.702
Se: 0.767 0.031 0.298
Se: 0.233 0.969 0.702
Se: 0.264 0.031 0.298
Se: 0.736 0.969 0.702

space-group type = R-3m (166)

No. 13
VASP calculation (PBE) on a relaxed K3Zr2PaSe6 crystal.

Cell: 6.883 6.883 8.200 Å, 98.05 98.05 120.03°
Fractional coordinates of all 12 atoms:
K: 0.165 0.835 0.500
K: 0.835 0.165 0.500
K: 0.500 0.500 0.500
Zr: 0.333 0.667 0.000
Zr: 0.667 0.333 0.000
Pa: 0.000 0.000 0.000
Se: 0.931 0.591 0.793
Se: 0.729 0.729 0.207
Se: 0.069 0.409 0.207
Se: 0.591 0.931 0.793
Se: 0.271 0.271 0.793
Se: 0.409 0.069 0.207

space-group type = C2/m (12)

No. 14
VASP calculation (PBE) on a relaxed K4ZrPa3Se8 crystal.

Cell: 8.171 9.201 8.171 Å, 116.36 120.00 90.00°
Fractional coordinates of all 16 atoms:
K: 0.500 0.000 0.000
K: 0.500 0.000 0.500
K: 0.000 0.000 0.000
K: 0.000 0.000 0.500
Zr: 0.000 0.500 0.000
Pa: 0.500 0.500 0.000
Pa: 0.500 0.500 0.500
Pa: 0.000 0.500 0.500
Se: 0.231 0.709 0.978
Se: 0.231 0.709 0.463
Se: 0.261 0.283 0.522
Se: 0.746 0.709 0.978
Se: 0.254 0.291 0.022
Se: 0.739 0.717 0.478
Se: 0.769 0.291 0.537
Se: 0.769 0.291 0.022

space-group type = R-3m (166)

No. 15
VASP calculation (PBE) on a relaxed K2Zr2PaSe6 crystal.

Cell: 6.804 6.804 8.354 Å, 97.73 97.73 120.33°
Fractional coordinates of all 11 atoms:
K: 0.835 0.165 0.000
K: 0.165 0.835 0.000
Zr: 0.332 0.668 0.500
Zr: 0.668 0.332 0.500
Pa: 0.000 0.000 0.500
Se: 0.723 0.723 0.703
Se: 0.069 0.408 0.704
Se: 0.277 0.277 0.297
Se: 0.408 0.069 0.704
Se: 0.931 0.592 0.296
Se: 0.592 0.931 0.296

space-group type = C2/m (12)

No. 16
VASP calculation (PBE) on a relaxed K3ZrPa3Se8 crystal.

Cell: 8.129 8.129 9.300 Å, 115.92 90.00 120.00°
Fractional coordinates of all 15 atoms:
K: 0.000 0.000 0.000
K: 0.000 0.500 0.000
K: 0.500 0.500 0.000
Zr: 0.000 0.000 0.500
Pa: 0.500 0.000 0.500
Pa: 0.500 0.500 0.500
Pa: 0.000 0.500 0.500
Se: 0.262 0.523 0.285
Se: 0.738 0.477 0.715
Se: 0.771 0.541 0.297
Se: 0.229 0.459 0.703
Se: 0.771 0.026 0.297
Se: 0.229 0.974 0.703
Se: 0.256 0.026 0.297
Se: 0.744 0.974 0.703

space-group type = R-3m (166)

No. 17
VASP calculation (PBE) on a relaxed K2ZrPaSe4 crystal.

Cell: 4.056 6.922 8.221 Å, 106.59 90.00 90.00°
Fractional coordinates of all 8 atoms:
K: 0.500 0.000 0.500
K: 0.000 0.500 0.500
Zr: 0.500 0.500 0.000
Pa: 0.000 0.000 0.000
Se: 0.500 0.247 0.212
Se: 0.500 0.753 0.788
Se: 0.000 0.274 0.795
Se: 0.000 0.726 0.205

space-group type = P2/m (10)

No. 18
VASP calculation (PBE) on a relaxed K4Sm3PaTe8 crystal.

Cell: 9.075 9.815 9.075 Å, 117.55 120.00 90.00°
Fractional coordinates of all 16 atoms:
K: 0.500 0.000 0.000
K: 0.500 0.000 0.500
K: 0.000 0.000 0.000
K: 0.000 0.000 0.500
Sm: 0.500 0.500 0.000
Sm: 0.500 0.500 0.500
Sm: 0.000 0.500 0.500
Pa: 0.000 0.500 0.000
Te: 0.236 0.714 0.977
Te: 0.236 0.714 0.473
Te: 0.262 0.286 0.524
Te: 0.741 0.714 0.977
Te: 0.259 0.286 0.023
Te: 0.738 0.714 0.476
Te: 0.764 0.286 0.527
Te: 0.764 0.286 0.023

space-group type = R-3m (166)

No. 19
VASP calculation (PBE) on a relaxed K3Sm3PaTe8 crystal.

Cell: 9.055 9.055 9.881 Å, 117.28 90.00 120.00°
Fractional coordinates of all 15 atoms:
K: 0.000 0.000 0.000
K: 0.000 0.500 0.000
K: 0.500 0.500 0.000
Sm: 0.500 0.000 0.500
Sm: 0.500 0.500 0.500
Sm: 0.000 0.500 0.500
Pa: 0.000 0.000 0.500
Te: 0.263 0.525 0.288
Te: 0.737 0.475 0.712
Te: 0.766 0.532 0.292
Te: 0.234 0.468 0.708
Te: 0.766 0.026 0.292
Te: 0.234 0.974 0.708
Te: 0.260 0.026 0.292
Te: 0.740 0.974 0.708

space-group type = R-3m (166)

No. 20
VASP calculation (PBE) on a relaxed K2SmPa2Te6 crystal.

Cell: 7.667 7.667 8.903 Å, 98.12 98.12 120.13°
Fractional coordinates of all 11 atoms:
K: 0.835 0.165 0.000
K: 0.165 0.835 0.000
Sm: 0.000 0.000 0.500
Pa: 0.333 0.667 0.500
Pa: 0.667 0.333 0.500
Te: 0.728 0.728 0.711
Te: 0.071 0.408 0.711
Te: 0.272 0.272 0.289
Te: 0.408 0.071 0.711
Te: 0.929 0.592 0.289
Te: 0.592 0.929 0.289

space-group type = C2/m (12)

Let's list raw formation energy in order: -1.291, -1.326, -1.293, -1.261, -1.222, -1.250, -1.116, -1.154, -1.525, -1.527, -1.600, -1.694, -1.340, -1.320, -1.390, -1.355, -1.332, -1.278, -1.289, -1.072 eV per atom.